# 1
Compound: LiBiB3
Source: Alexandria via LeMat-Bulk
Functional: PBE
Structure: relaxed

POSCAR file:
```
LiBiB3
1.0
4.826 0.000 0.000
0.000 4.826 0.000
0.000 0.000 4.826
Li Bi B
1 1 3
Cartesian
0.000 0.000 0.000 Li
2.413 2.413 2.413 Bi
0.000 2.413 2.413 B
2.413 0.000 2.413 B
2.413 2.413 0.000 B
```

SG ... Pm-3m
Energy above the lowest structure with this stoichiometry ... 406 meV per atom
Energy of formation from the pure elements ... 2.268 eV/atom

***

# 2
Compound: Li2BiB
Source: Alexandria via LeMat-Bulk
Functional: PBE
Structure: relaxed

POSCAR file:
```
Li2BiB
1.0
-1.924 1.924 9.046
1.924 -1.924 9.046
1.924 1.924 -9.046
Li Bi B
4 2 2
Cartesian
2.886 0.768 -2.261 Li
0.768 0.962 2.261 Li
-0.962 1.156 6.784 Li
1.156 0.962 11.307 Li
1.924 0.000 4.523 Bi
0.000 0.000 9.046 Bi
0.000 0.000 0.000 B
0.000 1.924 4.523 B
```

SG ... I-42d
Energy above the lowest structure with this stoichiometry ... 12 meV per atom
Energy of formation from the pure elements ... 0.486 eV/atom

***

# 3
Compound: Li3BiB
Source: Alexandria via LeMat-Bulk
Functional: PBE
Structure: relaxed

POSCAR file:
```
Li3BiB
1.0
4.373 0.000 0.000
0.000 4.373 0.000
0.000 0.000 4.373
Li Bi B
3 1 1
Cartesian
0.000 0.000 2.186 Li
0.000 2.186 0.000 Li
2.186 0.000 0.000 Li
2.186 2.186 2.186 Bi
0.000 0.000 0.000 B
```

SG ... Pm-3m
Energy above the lowest structure with this stoichiometry ... 0 meV per atom
Energy of formation from the pure elements ... 0.299 eV/atom

***

# 4
Compound: Li3BiB
Source: Alexandria via LeMat-Bulk
Functional: PBE
Structure: relaxed

POSCAR file:
```
Li3BiB
1.0
5.225 0.000 0.000
0.000 5.225 0.000
0.000 0.000 5.225
Li Bi B
3 1 1
Cartesian
0.000 0.000 2.612 Li
0.000 2.612 0.000 Li
2.612 0.000 0.000 Li
0.000 0.000 0.000 Bi
2.612 2.612 2.612 B
```

SG ... Pm-3m
Energy above the lowest structure with this stoichiometry ... 555 meV per atom
Energy of formation from the pure elements ... 0.855 eV/atom

***

# 5
Compound: Li2BiB
Source: Alexandria via LeMat-Bulk
Functional: PBE
Structure: relaxed

POSCAR file:
```
Li2BiB
1.0
0.000 3.201 3.201
3.201 0.000 3.201
3.201 3.201 0.000
Li Bi B
2 1 1
Cartesian
1.600 1.600 1.600 Li
4.801 4.801 4.801 Li
0.000 0.000 0.000 Bi
3.201 3.201 3.201 B
```

SG ... Fm-3m
Energy above the lowest structure with this stoichiometry ... 0 meV per atom
Energy of formation from the pure elements ... 0.474 eV/atom

***

# 6
Compound: LiBi2B
Source: Alexandria via LeMat-Bulk
Functional: PBE
Structure: relaxed

POSCAR file:
```
LiBi2B
1.0
0.000 3.494 3.494
3.494 0.000 3.494
3.494 3.494 0.000
Li Bi B
1 2 1
Cartesian
0.000 0.000 0.000 Li
1.747 1.747 1.747 Bi
5.241 5.241 5.241 Bi
3.494 3.494 3.494 B
```

SG ... Fm-3m
Energy above the lowest structure with this stoichiometry ... 260 meV per atom
Energy of formation from the pure elements ... 0.742 eV/atom